Density functional theory data (PBE with a Hubbard U) for a geometry-optimized FeCuIO2 structure.

- Volume: 18.45 Å³/atom
- Total magnetization: 5.2 μB per formula unit
- Energy above the lowest structure with this stoichiometry: 0 kJ/mol of formula units
- Final energy: -4.515 eV/atom

```
data_FeCuIO2
_chemical_formula_sum 'Fe1 Cu1 I1 O2'
_symmetry_space_group_name_H-M 'P 4/m m m'
_symmetry_Int_Tables_number 123
_symmetry_space_group_name_Hall '-P 4 2'
_cell_length_a 3.775
_cell_length_b 3.775
_cell_length_c 6.474
_cell_angle_alpha 90.00
_cell_angle_beta 90.00
_cell_angle_gamma 90.00
loop_
_atom_site_label
_atom_site_fract_x
_atom_site_fract_y
_atom_site_fract_z
_atom_site_occupancy
Fe1 0.000 0.000 0.000 1
Cu1 0.500 0.500 0.500 1
I1 0.000 0.000 0.500 1
O1 0.000 0.500 0.000 1
```